# PBE Np2As, optimized geometry
data_Np2As
_symmetry_space_group_name_H-M 'P n m a'
_symmetry_Int_Tables_number 62
_cell_length_a 6.8117
_cell_length_b 3.5882
_cell_length_c 9.9979
_cell_angle_alpha 90.00
_cell_angle_beta 90.00
_cell_angle_gamma 90.00
loop_
_symmetry_equiv_pos_as_xyz
'x,y,z'
'-x,-y,-z'
'-x+1/2,-y,z+1/2'
'x+1/2,y,-z+1/2'
'x+1/2,-y+1/2,-z+1/2'
'-x+1/2,y+1/2,z+1/2'
'-x,y+1/2,-z'
'x,-y+1/2,z'
loop_
_atom_site_label
_atom_site_type_symbol
_atom_site_fract_x
_atom_site_fract_y
_atom_site_fract_z
Np1 Np 0.1037 0.2500 0.1531
Np2 Np 0.1706 0.2500 0.5911
As1 As 0.2372 0.2500 0.8707
# Volume (Å³/cell): 244.4
# Calculated formation energy (eV/atom): -0.386
# E above lowest polymorph (eV per atom): 0.000
# Size of the total moment (Bohr magnetons per cell): 11.4
# Electronic total energy (eV/atom): -10.563